1.
Pm5Sm4Ho3 | the Alexandria database | PBE | relaxed; ΔE to the lowest computed polymorph = 0.0000 eV per atom; DFT formation energy = 1.34 kJ/mol of atoms
1.0
-5.5011 -4.1386 -2.1684
10.4472 1.0584 -4.4861
-8.3968 -5.6794 8.1658
Pm Sm Ho
5 4 3
Direct
0.3340 0.6654 0.8316
0.5000 0.0000 0.5000
0.7506 0.4979 0.9982
0.2494 0.5021 0.0018
0.6660 0.3346 0.1684
0.9158 0.8324 0.6656
0.8342 0.6684 0.8342
0.1658 0.3316 0.1658
0.0842 0.1676 0.3344
0.5827 0.1663 0.3333
0.0000 0.0000 0.5000
0.4173 0.8337 0.6667

***

2.
Pm2SmHo4 | the Alexandria database | PBE | relaxed; ΔE to the lowest computed polymorph = 0.0000 eV per atom; DFT formation energy = 4.32 kJ/mol of atoms
1.0
-0.9385 -2.0924 -2.7008
-1.2501 -6.6601 5.5960
-5.8883 6.2381 -0.4621
Pm Sm Ho
2 1 4
Direct
0.0686 0.4283 0.1384
0.9314 0.5717 0.8616
0.0000 0.0000 0.0000
0.2941 0.7069 0.5878
0.3545 0.1565 0.7081
0.7059 0.2931 0.4122
0.6455 0.8435 0.2919

***

3.
Pm5SmHo12 | the Alexandria database | PBE | relaxed; DFT formation energy = 9.98 kJ/mol of atoms
1.0
11.3207 0.0000 0.0014
5.6603 8.6532 0.0008
-0.0007 0.0002 5.9440
Pm Sm Ho
5 1 12
Direct
0.5000 0.0000 0.5000
0.1668 0.6665 0.5000
0.8333 0.3335 0.5000
0.6668 0.6665 0.0000
0.3332 0.3335 0.0000
0.0000 0.0000 0.0000
0.8231 0.0000 0.4474
0.1769 0.0000 0.5526
0.6775 0.0000 0.9475
0.3225 0.0000 0.0525
0.3437 0.6670 0.9477
0.9892 0.6670 0.0523
0.0108 0.3330 0.9477
0.6563 0.3330 0.0523
0.5109 0.3332 0.5524
0.8441 0.6668 0.5524
0.1559 0.3332 0.4476
0.4891 0.6668 0.4476

***

Question: Among the records above, which one has the lowest DFT formation energy?
Answer: Pm5Sm4Ho3